# NaLi6Tl5

NaLi6Tl5 after structural relaxation (PBE, the Alexandria database).

Unit cell a=7.8046 b=7.8046 c=6.9455 alpha=90.00 beta=90.00 gamma=143.07
Closest atoms and distances in Å follow each position.
Element x y z (fractional)
Na  0.0000  0.0000  0.0000  8 Li 3.06-3.12
Li  0.1722  0.8278  0.2584  7 Tl 2.97-3.06, 1 Na 3.12
Li  0.1722  0.8278  0.7416  7 Tl 2.97-3.06, 1 Na 3.12
Li  0.5000  0.5000  0.2601  6 Tl 2.92-3.03, 2 Na 3.06
Li  0.5000  0.5000  0.7399  6 Tl 2.92-3.03, 2 Na 3.06
Li  0.8278  0.1722  0.2584  7 Tl 2.97-3.06, 1 Na 3.12
Li  0.8278  0.1722  0.7416  7 Tl 2.97-3.06, 1 Na 3.12
Tl  0.0000  0.0000  0.5000  8 Li 2.98-3.05
Tl  0.3356  0.6644  0.0000  8 Li 3.01-3.06
Tl  0.3380  0.6620  0.5000  8 Li 2.92-2.99
Tl  0.6620  0.3380  0.5000  8 Li 2.92-2.99
Tl  0.6644  0.3356  0.0000  8 Li 3.01-3.06

Output
energy	-27.19	eV per formula unit
ΔH_f (0 K)	-2.552	eV per formula unit

# Na5Li2Tl12

Na5Li2Tl12 after structural relaxation (PBE, the Alexandria database).

Unit cell a=9.3955 b=9.3955 c=7.9101 alpha=109.61 beta=109.61 gamma=57.45
Closest atoms and distances in Å follow each position.
Element x y z (fractional)
Na  0.0000  0.0000  0.0000  10 Tl 3.20-3.44
Na  0.2750  0.2750  0.7369  8 Tl 3.15-3.40
Na  0.3021  0.3021  0.3014  8 Tl 3.38-3.76, 2 Li 3.53, 1 Na 3.64
Na  0.6979  0.6979  0.6986  8 Tl 3.38-3.76, 2 Li 3.53, 1 Na 3.64
Na  0.7250  0.7250  0.2631  8 Tl 3.15-3.40
Li  0.2987  0.7013  0.5000  6 Tl 2.99-3.09
Li  0.7013  0.2987  0.5000  6 Tl 2.99-3.09
Tl  0.0481  0.6705  0.6242  1 Li 3.01, 1 Na 3.34, 1 Tl 3.36
Tl  0.0752  0.0752  0.6817  3 Tl 2.99-3.08, 2 Li 3.09, 2 Na 3.15-3.20
Tl  0.1127  0.6028  0.0406  4 Tl 3.08-3.36, 3 Na 3.17-3.39
Tl  0.3295  0.9519  0.3758  1 Li 3.01, 1 Na 3.34, 1 Tl 3.36
Tl  0.3972  0.8873  0.9594  4 Tl 3.08-3.36, 3 Na 3.17-3.39
Tl  0.4845  0.4845  0.7869  2 Li 2.99, 3 Tl 3.21-3.29, 1 Na 3.32
Tl  0.5155  0.5155  0.2131  2 Li 2.99, 3 Tl 3.21-3.29, 1 Na 3.32
Tl  0.6028  0.1127  0.0406  4 Tl 3.08-3.36, 3 Na 3.17-3.39
Tl  0.6705  0.0481  0.6242  1 Li 3.01, 1 Na 3.34, 1 Tl 3.36
Tl  0.8873  0.3972  0.9594  4 Tl 3.08-3.36, 3 Na 3.17-3.39
Tl  0.9248  0.9248  0.3183  3 Tl 2.99-3.08, 2 Li 3.09, 2 Na 3.15-3.20
Tl  0.9519  0.3295  0.3758  1 Li 3.01, 1 Na 3.34, 1 Tl 3.36

Output
offset from the most stable computed form	0.0	meV per atom
energy	-40.14	eV per formula unit
ΔH_f (0 K)	-1.323	eV per formula unit

# Na2LiTl2

Na2LiTl2 after structural relaxation (PBE, the Alexandria database).

Unit cell a=7.4497 b=7.4497 c=5.1669 alpha=90.00 beta=90.00 gamma=90.00
Closest atoms and distances in Å follow each position.
Element x y z (fractional)
Na  0.1646  0.3354  0.0000  6 Tl 3.24-3.49, 1 Na 3.47
Na  0.3354  0.8354  0.0000  6 Tl 3.24-3.49, 1 Na 3.47
Na  0.6646  0.1646  0.0000  6 Tl 3.24-3.49, 1 Na 3.47
Na  0.8354  0.6646  0.0000  6 Tl 3.24-3.49, 1 Na 3.47
Li  0.0000  0.0000  0.5000  4 Tl 2.84
Li  0.5000  0.5000  0.5000  4 Tl 2.84
Tl  0.1495  0.6495  0.5000  2 Li 2.84, 1 Tl 3.15
Tl  0.3505  0.1495  0.5000  2 Li 2.84, 1 Tl 3.15
Tl  0.6495  0.8505  0.5000  2 Li 2.84, 1 Tl 3.15
Tl  0.8505  0.3505  0.5000  2 Li 2.84, 1 Tl 3.15

Output
offset from the most stable computed form	65.8	meV per atom
energy	-9.59	eV per formula unit
ΔH_f (0 K)	-0.307	eV per formula unit

# Na12LiTl2

Na12LiTl2 after structural relaxation (PBE, the Alexandria database).

Unit cell a=6.7292 b=6.7292 c=24.4972 alpha=90.00 beta=90.00 gamma=90.00
Closest atoms and distances in Å follow each position.
Element x y z (fractional)
Na  0.0000  0.0000  0.0892  2 Li 3.23, 6 Na 3.36-3.51, 2 Tl 3.58
Na  0.0000  0.0000  0.9108  2 Li 3.23, 6 Na 3.36-3.51, 2 Tl 3.58
Na  0.0000  0.5000  0.0892  2 Li 3.23, 6 Na 3.36-3.51, 2 Tl 3.58
Na  0.0000  0.5000  0.9108  2 Li 3.23, 6 Na 3.36-3.51, 2 Tl 3.58
Na  0.0701  0.5701  0.4334  8 Na 3.42-3.68
Na  0.0701  0.9299  0.5666  8 Na 3.42-3.68
Na  0.2500  0.2500  0.1943  5 Na 3.13-3.51, 4 Tl 3.37
Na  0.2500  0.2500  0.3222  1 Na 3.13
Na  0.2500  0.2500  0.6778  1 Na 3.13
Na  0.2500  0.2500  0.8057  5 Na 3.13-3.51, 4 Tl 3.37
Na  0.4299  0.5701  0.5666  8 Na 3.42-3.68
Na  0.4299  0.9299  0.4334  8 Na 3.42-3.68
Na  0.5000  0.0000  0.0892  2 Li 3.23, 6 Na 3.36-3.51, 2 Tl 3.58
Na  0.5000  0.0000  0.9108  2 Li 3.23, 6 Na 3.36-3.51, 2 Tl 3.58
Na  0.5000  0.5000  0.0892  2 Li 3.23, 6 Na 3.36-3.51, 2 Tl 3.58
Na  0.5000  0.5000  0.9108  2 Li 3.23, 6 Na 3.36-3.51, 2 Tl 3.58
Na  0.5701  0.0701  0.5666  8 Na 3.42-3.68
Na  0.5701  0.4299  0.4334  8 Na 3.42-3.68
Na  0.7500  0.7500  0.1943  5 Na 3.13-3.51, 4 Tl 3.37
Na  0.7500  0.7500  0.3222  1 Na 3.13
Na  0.7500  0.7500  0.6778  1 Na 3.13
Na  0.7500  0.7500  0.8057  5 Na 3.13-3.51, 4 Tl 3.37
Na  0.9299  0.0701  0.4334  8 Na 3.42-3.68
Na  0.9299  0.4299  0.5666  8 Na 3.42-3.68
Li  0.2500  0.7500  0.0000  8 Na 3.23
Li  0.7500  0.2500  0.0000  8 Na 3.23
Tl  0.2500  0.7500  0.1982  8 Na 3.37-3.58
Tl  0.2500  0.7500  0.8018  8 Na 3.37-3.58
Tl  0.7500  0.2500  0.1982  8 Na 3.37-3.58
Tl  0.7500  0.2500  0.8018  8 Na 3.37-3.58

Output
energy	-21.06	eV per formula unit
ΔH_f (0 K)	1.416	eV per formula unit

# Na4LiTl3

Na4LiTl3 after structural relaxation (PBE, the Alexandria database).

Unit cell a=14.3742 b=14.3742 c=3.6355 alpha=96.75 beta=96.75 gamma=17.86
Closest atoms and distances in Å follow each position.
Element x y z (fractional)
Na  0.0924  0.0924  0.0903  2 Li 3.17-3.19, 6 Tl 3.35-3.43, 1 Na 3.44
Na  0.2143  0.2143  0.2112  5 Tl 3.34-3.73, 7 Na 3.44-3.64
Na  0.7857  0.7857  0.7888  5 Tl 3.34-3.73, 7 Na 3.44-3.64
Na  0.9076  0.9076  0.9097  2 Li 3.17-3.19, 6 Tl 3.35-3.43, 1 Na 3.44
Li  0.0000  0.0000  0.5000  4 Tl 2.88, 4 Na 3.17-3.19
Tl  0.3466  0.3466  0.3503  9 Na 3.34-3.73, 2 Tl 3.64
Tl  0.5000  0.5000  0.0000  4 Li 2.88
Tl  0.6534  0.6534  0.6497  9 Na 3.34-3.73, 2 Tl 3.64

Output
energy	-14.87	eV per formula unit
ΔH_f (0 K)	-0.578	eV per formula unit

# Na4Li2Tl3

Na4Li2Tl3 after structural relaxation (PBE, the Alexandria database).

Unit cell a=9.3908 b=9.3908 c=9.3908 alpha=160.49 beta=121.85 gamma=61.95
Closest atoms and distances in Å follow each position.
Element x y z (fractional)
Na  0.0088  0.8348  0.1740  1 Li 3.03, 3 Na 3.18
Na  0.3393  0.1652  0.1740  1 Li 3.03, 3 Na 3.18
Na  0.6607  0.8348  0.8260  1 Li 3.03, 3 Na 3.18
Na  0.9912  0.1652  0.8260  1 Li 3.03, 3 Na 3.18
Li  0.3322  0.0000  0.3322  2 Na 3.03, 3 Li 3.06-3.18, 4 Tl 3.19
Li  0.6678  0.0000  0.6678  2 Na 3.03, 3 Li 3.06-3.18, 4 Tl 3.19
Tl  0.0000  0.5000  0.5000  2 Tl 3.18, 4 Li 3.42, 8 Na 3.48
Tl  0.3570  0.3570  0.0000  2 Tl 3.18, 4 Li 3.19, 6 Na 3.39-3.47
Tl  0.6430  0.6430  0.0000  2 Tl 3.18, 4 Li 3.19, 6 Na 3.39-3.47

Output
energy	-17.02	eV per formula unit
ΔH_f (0 K)	-0.813	eV per formula unit